Zr2NiHg PBE-GGA optimized geometry; VASP energy = -47.36 eV/cell; formation enthalpy at 0 K = -0.1250 eV per atom; DOS at the Fermi energy = 7.8 states/eV per cell
1.0
11.0877 0.0000 0.0000
0.0000 3.2543 0.0000
-1.9957 0.0000 4.3150
Zr Ni Hg
4 2 2
Cartesian
0.0000 0.0000 0.0000
1.0299 0.0000 3.0626
5.5439 1.6272 0.0000
6.5737 1.6272 3.0626
-0.9805 1.6272 2.3146
4.5634 0.0000 2.3146
2.6744 1.6272 1.2047
8.2183 0.0000 1.2047

=====

Gd2ErCo PBE-GGA optimized geometry; VASP energy = -39.88 eV/cell; formation enthalpy at 0 K = -0.0124 eV per atom; polymorph energy (0 for the lowest one) = 0.00 eV/f.u.; DOS at the Fermi energy = 5.9 states/eV per cell
1.0
3.4251 0.0000 0.0000
0.0000 3.4251 0.0000
0.0000 0.0000 8.8121
Gd Er Co
2 1 1
Cartesian
0.0000 0.0000 1.6360
0.0000 0.0000 7.1760
1.7125 1.7125 4.4060
1.7125 1.7125 0.0000

=====

SrScAs2Br PBE-GGA optimized geometry; VASP energy = -23.64 eV/cell; polymorph energy (0 for the lowest one) = 0.00 eV/f.u.; DOS at the Fermi energy = 1.3 states/eV per cell
1.0
5.0950 0.0000 0.0000
0.0000 5.0950 0.0000
0.0000 0.0000 5.5456
Sr Sc As Br
1 1 2 1
Cartesian
0.0000 0.0000 0.0000
2.5475 2.5475 2.7728
0.0000 2.5475 2.7728
2.5475 0.0000 2.7728
2.5475 2.5475 0.0000

=====

La2Pm3Cd PBE-GGA optimized geometry; VASP energy = -50.70 eV/cell; formation enthalpy at 0 K = -0.0545 eV per atom; polymorph energy (0 for the lowest one) = 0.00 eV/f.u.; DOS at the Fermi energy = 17.1 states/eV per cell
1.0
5.3765 -3.1151 0.0000
5.3765 3.1151 0.0000
0.0000 0.0000 11.6239
La Pm Cd
4 6 2
Cartesian
1.7961 1.0363 2.9060
1.7961 -1.0363 8.7179
8.9569 1.0363 2.9060
8.9569 -1.0363 8.7179
0.0000 0.0000 0.0000
0.0000 0.0000 5.8120
3.6772 0.0000 0.0000
3.6772 0.0000 5.8120
7.0757 0.0000 0.0000
7.0757 0.0000 5.8120
5.3765 1.0484 2.9060
5.3765 -1.0484 8.7179

=====

CsK2LiPd PBE-GGA optimized geometry; VASP energy = -9.73 eV/cell; formation enthalpy at 0 K = 0.0843 eV per atom; DOS at the Fermi energy = 2.1 states/eV per cell
1.0
6.5095 0.0000 0.0000
0.0000 6.5095 0.0000
0.0000 0.0000 5.3608
Cs K Li Pd
1 2 1 1
Cartesian
0.0000 0.0000 0.0000
0.0000 3.2548 2.6804
3.2548 0.0000 2.6804
3.2548 3.2548 0.0000
3.2548 3.2548 2.6804

=====

CrSiSb3 PBE-GGA optimized geometry; VASP energy = -20.75 eV/cell; polymorph energy (0 for the lowest one) = 3.14 eV/f.u.; DOS at the Fermi energy = 6.5 states/eV per cell
1.0
5.1256 0.0000 0.0000
0.0000 5.1256 0.0000
0.0000 0.0000 5.1256
Cr Si Sb
1 1 3
Cartesian
0.0000 0.0000 0.0000
2.5628 2.5628 2.5628
0.0000 2.5628 2.5628
2.5628 0.0000 2.5628
2.5628 2.5628 0.0000